Compound: SrMnO2F
Source: the Alexandria database
Functional: PBE+U
Structure: relaxed

Output
For the total energy, the calculation gives -5.3270 eV/atom.

```
SrMnO2F
1.0
-0.234 -1.717 -4.242
-1.405 -4.015 1.703
-4.258 1.356 -0.314
Sr Mn O F
1 1 2 1
direct
0.000 0.000 0.000
0.500 0.500 0.500
0.000 0.500 0.000
0.500 0.000 0.000
0.000 0.000 0.500
```